# 1
The following is a PBE calculation of a relaxed structure of ScTlBr2, from Alexandria.

Unit cell a=3.844 b=6.460 c=9.880 alpha=90.00 beta=90.00 gamma=90.00
Space group Cmm2 (No. 35)
One atom of each set of equivalent atoms:
1 Sc 0.000 0.000 0.000 [2 per cell]
2 Tl 0.000 0.500 0.236 [2 per cell]
3 Br 0.000 0.000 0.446 [2 per cell]
4 Br 0.000 0.500 0.814 [2 per cell]

Results
Its total energy is -14.61 eV per formula unit. For the total magnetization, the calculation gives 0.00 μB/cell. Its theoretical density is 5.5 g/cm3. The crystal system is orthorhombic. For the energy above the most stable polymorph in this dataset, the calculation gives 394 meV per atom. For the energy relative to the elements, uncorrected, the calculation gives -0.643 eV/atom.

---

# 2
The following is a PBE calculation of a relaxed structure of ReOsPd, from Alexandria.

Unit cell a=2.7514 b=2.7514 c=6.8084 alpha=90.00 beta=90.00 gamma=120.00
Space group P3m1 (No. 156)
One atom of each set of equivalent atoms:
1 Re 0.0000 0.0000 0.0000 [1 per cell]
2 Os 0.6667 0.3333 0.3095 [1 per cell]
3 Pd 0.3333 0.6667 0.6564 [1 per cell]

Results
Its total energy is -28.69 eV per formula unit. For the total magnetization, the calculation gives 0.00 μB/cell. Its theoretical density is 18.0 g/cm3. The crystal system is trigonal. For the energy above the most stable polymorph in this dataset, the calculation gives 0 meV per atom. For the energy of formation, the calculation gives 0.06 eV/atom.

---

# 3
The following is a PBE calculation of a relaxed structure of TcHg2As, from Alexandria.

Unit cell a=3.946 b=3.946 c=9.777 alpha=90.00 beta=90.00 gamma=90.00
Space group I4/mmm (No. 139)
One atom of each set of equivalent atoms:
1 Tc 0.000 0.000 0.000 [2 per cell]
2 Hg 0.000 0.500 0.250 [4 per cell]
3 As 0.000 0.000 0.500 [2 per cell]

Results
Its total energy is -13.14 eV per formula unit. For the total magnetization, the calculation gives 1.62 μB/cell. Its theoretical density is 12.5 g/cm3. The crystal system is tetragonal. For the energy of formation, the calculation gives 0.62 eV/atom.

---

# 4
The following is a PBE calculation of a relaxed structure of Be2SbP, from Alexandria.

Unit cell a=4.080 b=3.502 c=4.719 alpha=90.00 beta=93.81 gamma=90.00
Space group P2/m (No. 10)
One atom of each set of equivalent atoms:
1 Be 0.029 0.000 0.232 [2 per cell]
2 Sb 0.500 0.500 0.000 [1 per cell]
3 P 0.000 0.500 0.500 [1 per cell]

Results
Its total energy is -15.70 eV per formula unit. For the total magnetization, the calculation gives 0.00 μB/cell. Its theoretical density is 4.2 g/cm3. The crystal system is monoclinic. For the energy above the most stable polymorph in this dataset, the calculation gives 276 meV per atom. For the energy relative to the elements, uncorrected, the calculation gives 0.321 eV/atom.

---

# 5
The following is a PBE calculation of a relaxed structure of P2WSCl, from Alexandria.

Unit cell a=4.354 b=4.354 c=4.431 alpha=90.00 beta=90.00 gamma=90.00
Space group P4/mmm (No. 123)
One atom of each set of equivalent atoms:
1 P 0.000 0.500 0.000 [2 per cell]
2 W 0.000 0.000 0.500 [1 per cell]
3 S 0.500 0.500 0.500 [1 per cell]
4 Cl 0.500 0.500 0.000 [1 per cell]

Results
Its total energy is -20.97 eV per formula unit. For the total magnetization, the calculation gives 0.00 μB/cell. Its theoretical density is 6.2 g/cm3. The crystal system is tetragonal. For the energy above the most stable polymorph in this dataset, the calculation gives 1440 meV per atom. For the energy relative to the elements, uncorrected, the calculation gives 1.755 eV/atom.

---

# 6
The following is a PBE calculation of a relaxed structure of AlCuN, from Alexandria.

Unit cell a=3.0989 b=3.0989 c=4.4941 alpha=90.00 beta=90.00 gamma=120.00
Space group P3m1 (No. 156)
One atom of each set of equivalent atoms:
1 Al 0.0000 0.0000 0.0000 [1 per cell]
2 Cu 0.6667 0.3333 0.4491 [1 per cell]
3 N 0.6667 0.3333 0.9008 [1 per cell]

Results
Its total energy is -17.24 eV per formula unit. For the total magnetization, the calculation gives 0.00 μB/cell. Its theoretical density is 4.6 g/cm3. The crystal system is trigonal. For the energy above the most stable polymorph in this dataset, the calculation gives 61 meV per atom. For the energy relative to the elements, uncorrected, the calculation gives -0.359 eV/atom.